# PBE-GGA Ag8S3, optimized geometry
data_Ag8S3
_cell_length_a 8.5052
_cell_length_b 8.5052
_cell_length_c 10.3637
_cell_angle_alpha 90.00
_cell_angle_beta 90.00
_cell_angle_gamma 120.00
_space_group_name_H-M_alt 'R -3'
_space_group_IT_number 148
_space_group_name_Hall '-R 3'
loop_
_atom_site_label
_atom_site_type_symbol
_atom_site_fract_x
_atom_site_fract_y
_atom_site_fract_z
_atom_site_occupancy
Ag1 Ag 0.0000 0.0000 0.1417 1
Ag2 Ag 0.0255 0.2151 0.6082 1
S1 S 0.0000 0.5000 0.5000 1
# Formation energy without anion corrections, kcal/mol of atoms: 1.71
# Magnetization, μB/cell: 0.00



# PBE-GGA NdPIr2, optimized geometry
data_NdPIr2
_cell_length_a 5.554
_cell_length_b 7.315
_cell_length_c 4.129
_cell_angle_alpha 90.00
_cell_angle_beta 90.00
_cell_angle_gamma 90.00
_space_group_name_H-M_alt 'C m m m'
_space_group_IT_number 65
_space_group_name_Hall '-C 2 2'
loop_
_atom_site_label
_atom_site_type_symbol
_atom_site_fract_x
_atom_site_fract_y
_atom_site_fract_z
_atom_site_occupancy
Nd1 Nd 0.000 0.000 0.000 1
P1 P 0.000 0.500 0.500 1
Ir1 Ir 0.250 0.250 0.500 1
# Energy of formation, eV/atom: -0.593
# Magnetization, μB/cell: 0.00



# PBE-GGA NpSbAu, optimized geometry
data_NpSbAu
_cell_length_a 3.730
_cell_length_b 3.730
_cell_length_c 10.371
_cell_angle_alpha 90.00
_cell_angle_beta 90.00
_cell_angle_gamma 90.00
_space_group_name_H-M_alt 'I 4 m m'
_space_group_IT_number 107
_space_group_name_Hall 'I 4 -2'
loop_
_atom_site_label
_atom_site_type_symbol
_atom_site_fract_x
_atom_site_fract_y
_atom_site_fract_z
_atom_site_occupancy
Np1 Np 0.000 0.000 0.000 1
Sb1 Sb 0.000 0.000 0.316 1
Au1 Au 0.000 0.000 0.655 1
# Formation energy without anion corrections, kcal/mol of atoms: -2.15
# Magnetization, μB/cell: 8.41



# PBE-GGA HfAgOsO6, optimized geometry
data_HfAgOsO6
_cell_length_a 5.3349
_cell_length_b 5.3349
_cell_length_c 4.8835
_cell_angle_alpha 90.00
_cell_angle_beta 90.00
_cell_angle_gamma 120.00
_space_group_name_H-M_alt 'P 3 1 2'
_space_group_IT_number 149
_space_group_name_Hall 'P 3 2'
loop_
_atom_site_label
_atom_site_type_symbol
_atom_site_fract_x
_atom_site_fract_y
_atom_site_fract_z
_atom_site_occupancy
Hf1 Hf 0.0000 0.0000 0.0000 1
Ag1 Ag 0.6667 0.3333 0.5000 1
Os1 Os 0.3333 0.6667 0.0000 1
O1 O 0.0504 0.3556 0.2213 1
# Formation energy without anion corrections, kcal/mol of atoms: -35.63
# Magnetization, μB/cell: 0.95



It is found that the energy values, taken in the order of the records, are -3.125, -7.568, -6.873, -7.521 eV/atom.